Compound: CeP2Rh5Au
Source: the Alexandria database
Functional: PBE-GGA
Structure: optimized geometry

Lattice parameters (Å, degrees): 3.992 3.992 10.422 90.00 90.00 90.00
Element x y z (fractional)
1 Ce 0.000 0.000 0.500
2 P 0.500 0.500 0.281
3 P 0.500 0.500 0.719
4 Rh 0.000 0.500 0.179
5 Rh 0.500 0.000 0.179
6 Rh 0.000 0.500 0.821
7 Rh 0.500 0.000 0.821
8 Rh 0.500 0.500 0.500
9 Au 0.000 0.000 0.000

Calculated values
**Crystal system**: tetragonal
**E_form**: -0.463 eV/atom

Compound: Ce4Te2PAu
Source: the Alexandria database
Functional: PBE-GGA
Structure: optimized geometry

Lattice parameters (Å, degrees): 4.270 7.610 7.571 71.32 90.00 90.00
Element x y z (fractional)
1 Ce 0.000 0.726 0.748
2 Ce 0.000 0.274 0.252
3 Ce 0.500 0.722 0.271
4 Ce 0.500 0.278 0.729
5 Te 0.000 0.000 0.000
6 Te 0.500 0.000 0.500
7 P 0.000 0.500 0.500
8 Au 0.500 0.500 0.000

Calculated values
**Crystal system**: monoclinic
**Formation energy from raw total energies**: -9.31 eV per formula unit

Compound: CePaAu
Source: the Alexandria database
Functional: PBE-GGA
Structure: optimized geometry

Lattice parameters (Å, degrees): 2.926 5.105 5.105 120.00 90.00 90.00
Element x y z (fractional)
1 Pa 0.167 0.000 0.000
2 Au 0.667 0.667 0.333
3 Ce 0.167 0.333 0.667

Calculated values
**Relative energy among the computed polymorphs**: 26.9 meV per atom
**Crystal system**: hexagonal
**E_form**: -0.139 eV/atom

Compound: CePa2Au
Source: the Alexandria database
Functional: PBE-GGA
Structure: optimized geometry

Lattice parameters (Å, degrees): 3.722 3.722 6.931 90.00 90.00 90.00
Element x y z (fractional)
1 Pa 0.000 0.000 0.753
2 Pa 0.000 0.000 0.247
3 Au 0.500 0.500 0.000
4 Ce 0.500 0.500 0.500

Calculated values
**Relative energy among the computed polymorphs**: 50.3 meV per atom
**Crystal system**: tetragonal
**E_form**: 0.057 eV/atom

Compound: CePaAu
Source: the Alexandria database
Functional: PBE-GGA
Structure: optimized geometry

Lattice parameters (Å, degrees): 5.014 5.014 6.370 90.00 90.00 120.00
Element x y z (fractional)
1 Ce 0.000 0.000 0.749
2 Ce 0.000 0.000 0.251
3 Au 0.333 0.667 0.903
4 Au 0.667 0.333 0.097
5 Pa 0.667 0.333 0.612
6 Pa 0.333 0.667 0.388

Calculated values
**Relative energy among the computed polymorphs**: 0.0 meV per atom
**Crystal system**: trigonal
**E_form**: -0.166 eV/atom

Compound: CePa2Au6
Source: the Alexandria database
Functional: PBE-GGA
Structure: optimized geometry

Lattice parameters (Å, degrees): 3.179 8.373 8.373 120.00 90.00 90.00
Element x y z (fractional)
1 Ce 0.000 0.000 0.000
2 Pa 0.000 0.333 0.667
3 Pa 0.000 0.667 0.333
4 Au 0.500 0.334 0.334
5 Au 0.500 0.666 0.666
6 Au 0.500 0.000 0.666
7 Au 0.500 0.666 0.000
8 Au 0.500 0.334 0.000
9 Au 0.500 0.000 0.334

Calculated values
**Crystal system**: hexagonal
**E_form**: -0.549 eV/atom

Compound: CePa2Au
Source: the Alexandria database
Functional: PBE-GGA
Structure: optimized geometry

Lattice parameters (Å, degrees): 4.312 4.711 4.711 90.00 90.00 90.00
Element x y z (fractional)
1 Pa 0.000 0.000 0.500
2 Pa 0.000 0.500 0.000
3 Au 0.500 0.500 0.500
4 Ce 0.500 0.000 0.000

Calculated values
**Relative energy among the computed polymorphs**: 0.0 meV per atom
**Crystal system**: tetragonal
**E_form**: 0.007 eV/atom

Compound: CePa2Au
Source: the Alexandria database
Functional: PBE-GGA
Structure: optimized geometry

Lattice parameters (Å, degrees): 4.245 4.245 6.747 71.66 71.66 60.00
Element x y z (fractional)
1 Pa 0.246 0.246 0.261
2 Pa 0.754 0.754 0.739
3 Au 0.000 0.000 0.000
4 Ce 0.500 0.500 0.500

Calculated values
**Relative energy among the computed polymorphs**: 187.1 meV per atom
**Crystal system**: trigonal
**E_form**: 0.194 eV/atom

Compound: CePaPbAu
Source: the Alexandria database
Functional: PBE-GGA
Structure: optimized geometry

Lattice parameters (Å, degrees): 5.355 5.355 5.355 60.00 60.00 60.00
Element x y z (fractional)
1 Pb 0.250 0.250 0.250
2 Pa 0.000 0.000 0.000
3 Au 0.750 0.750 0.750
4 Ce 0.500 0.500 0.500

Calculated values
**Crystal system**: cubic
**E_form**: -0.131 eV/atom

Compound: CePaPdAu
Source: the Alexandria database
Functional: PBE-GGA
Structure: optimized geometry

Lattice parameters (Å, degrees): 5.071 5.071 5.071 60.00 60.00 60.00
Element x y z (fractional)
1 Pa 0.750 0.750 0.750
2 Au 0.500 0.500 0.500
3 Pd 0.000 0.000 0.000
4 Ce 0.250 0.250 0.250

Calculated values
**Crystal system**: cubic
**E_form**: -0.378 eV/atom

Compound: CePaPtAu
Source: the Alexandria database
Functional: PBE-GGA
Structure: optimized geometry

Lattice parameters (Å, degrees): 5.069 5.069 5.069 60.00 60.00 60.00
Element x y z (fractional)
1 Pa 0.000 0.000 0.000
2 Au 0.750 0.750 0.750
3 Ce 0.500 0.500 0.500
4 Pt 0.250 0.250 0.250

Calculated values
**Crystal system**: cubic
**E_form**: -0.579 eV/atom

Compound: CePaRhAu
Source: the Alexandria database
Functional: PBE-GGA
Structure: optimized geometry

Lattice parameters (Å, degrees): 5.020 5.020 5.020 60.00 60.00 60.00
Element x y z (fractional)
1 Rh 0.500 0.500 0.500
2 Pa 0.750 0.750 0.750
3 Au 0.000 0.000 0.000
4 Ce 0.250 0.250 0.250

Calculated values
**Crystal system**: cubic
**E_form**: -0.432 eV/atom